VASP calculation (PBE) on a relaxed NaY2I crystal. Values from VASP.

Calculated values
The space group is No. 122. The raw total energy is -3.873 eV/atom. The calculation puts the calculated density at 4.0 g/cm³. The uncorrected formation energy comes out at 0.076 eV/atom. The excess energy over the best structure of this formula in the dataset is 1.9 kJ/mol of atoms.

Cell and atoms, written as Quantum ESPRESSO input:
```
&SYSTEM
  ibrav = 0, nat = 16, ntyp = 3
/
ATOMIC_SPECIES
Na 22.99 Na.upf
Y 88.91 Y.upf
I 126.90 I.upf
CELL_PARAMETERS angstrom
8.950 0.000 0.000
0.000 8.950 0.000
0.000 0.000 6.783
ATOMIC_POSITIONS angstrom
Na 0.000 0.000 0.000
Na 0.000 4.475 1.696
Na 4.475 0.000 5.087
Na 4.475 4.475 3.391
Y 1.884 2.238 4.239
Y 2.238 6.359 5.935
Y 2.238 7.066 2.544
Y 2.591 2.238 0.848
Y 6.359 6.713 0.848
Y 6.713 1.884 2.544
Y 6.713 2.591 5.935
Y 7.066 6.713 4.239
I 0.000 0.000 3.391
I 0.000 4.475 5.087
I 4.475 0.000 1.696
I 4.475 4.475 0.000
```